Computed, not measured: a relaxed Ac6TlIr2Se3 crystal at the PBE level of DFT.

Properties
- energy (eV/atom) = -5.78
- M_tot (μB/f.u.) = 0.00
- formation energy without anion corrections (eV/f.u.) = -14.12

a b c (Å): 20.0579 4.3929 9.4214
angles (deg): 90.00 107.34 90.00
Space group C2/m (No. 12)
Unique sites:
Ac (0.0089, 0.0000, 0.2665)
Ac (0.1719, 0.5000, 0.1062)
Ac (0.1776, 0.5000, 0.5644)
Tl (0.0000, 0.5000, 0.0000)
Ir (0.1661, 0.0000, 0.3291)
Se (0.0000, 0.5000, 0.5000)
Se (0.1635, 0.0000, 0.8302)